# 1
{"formula": "Be3AgPd", "functional": "GGA-PBE", "state": "optimized geometry", "cell": [[4.2285, 0.0000, 0.0000], [0.0000, 4.2285, 0.0000], [0.0000, 0.0000, 4.2285]], "species": ["Be", "Be", "Be", "Ag", "Pd"], "fractional_positions": [[0.0000, 0.0000, 0.5000], [0.0000, 0.5000, 0.0000], [0.5000, 0.0000, 0.0000], [0.5000, 0.5000, 0.5000], [0.0000, 0.0000, 0.0000]], "relative_energy_mev_per_atom": 0, "spacegroup": "Pm-3m, No. 221"}

=====

# 2
{"formula": "ErZrZnCd", "functional": "GGA-PBE", "state": "optimized geometry", "cell": [[3.4432, 0.0000, 0.0000], [0.0000, 3.4432, 0.0000], [0.0000, 0.0000, 7.3852]], "species": ["Er", "Zr", "Zn", "Cd"], "fractional_positions": [[0.0000, 0.0000, 0.0000], [0.0000, 0.0000, 0.5384], [0.5000, 0.5000, 0.7538], [0.5000, 0.5000, 0.2792]], "relative_energy_mev_per_atom": 0, "spacegroup": "P4mm, No. 99"}

=====

# 3
{"formula": "KPuNiS3", "functional": "GGA-PBE", "state": "optimized geometry", "cell": [[8.7279, 0.0000, 0.0000], [0.0000, 3.9347, 0.0000], [-2.7415, 0.0000, 8.6172]], "species": ["K", "K", "Pu", "Pu", "Ni", "Ni", "S", "S", "S", "S", "S", "S"], "fractional_positions": [[0.1970, 0.2500, 0.2361], [0.8030, 0.7500, 0.7639], [0.3234, 0.7500, 0.8412], [0.6766, 0.2500, 0.1588], [0.0812, 0.2500, 0.5880], [0.9188, 0.7500, 0.4120], [0.1208, 0.2500, 0.8518], [0.1845, 0.7500, 0.5335], [0.4593, 0.7500, 0.1565], [0.5407, 0.2500, 0.8435], [0.8155, 0.2500, 0.4665], [0.8792, 0.7500, 0.1482]], "e_form_raw_ev_per_atom": -1.21, "spacegroup": "P2_1/m, No. 11"}

=====

Number 1: E -3.3937 eV per atom. Number 2: E -4.0478 eV per atom. Number 3: E -6.8075 eV per atom.